Material: NpAlHg
Method: DFT, PBE-GGA
State: optimized geometry

The structure in POSCAR format:
```
NpAlHg
1.0
0.0000 3.3726 3.3726
3.3726 0.0000 3.3726
3.3726 3.3726 0.0000
Al Hg Np
1 1 1
direct
0.5000 0.5000 0.5000
0.2500 0.2500 0.2500
0.0000 0.0000 0.0000
```

Computed properties:
**SG**: F-43m (216)

=====

Material: HfMgGaCo
Method: DFT, PBE-GGA
State: optimized geometry

The structure in POSCAR format:
```
HfMgGaCo
1.0
0.0000 3.1848 3.1848
3.1848 0.0000 3.1848
3.1848 3.1848 0.0000
Co Ga Hf Mg
1 1 1 1
direct
0.5000 0.5000 0.5000
0.0000 0.0000 0.0000
0.2500 0.2500 0.2500
0.7500 0.7500 0.7500
```

Computed properties:
**SG**: F-43m (216)

=====

no.,energy relative to the lowest polymorph listed for this composition (meV/atom),total DFT energy (no corrections) (eV/atom)
1,0.0,-5.25
2,0.0,-5.63